[1]
Na2TlIn PBE optimized geometry; energy of formation = 0.03 eV per atom; density = 4.95 g/cm³; E = -15.2 eV for the cell shown
1.0
-4.359 4.359 3.225
4.359 -4.359 3.225
4.359 4.359 -3.225
Na Tl In
4 2 2
Direct
0.124 0.125 0.499 Na
0.375 0.876 0.001 Na
0.626 0.625 0.501 Na
0.875 0.374 0.999 Na
0.000 0.000 0.000 Tl
0.750 0.250 0.500 Tl
0.250 0.750 0.500 In
0.500 0.500 0.000 In

***

[2]
TaTi8Ga6 PBE optimized geometry; energy of formation = -0.10 eV per atom; density = 6.10 g/cm³; E = -94.7 eV for the cell shown
1.0
3.789 2.188 5.379
-3.789 2.188 5.379
0.000 -4.375 5.379
Ta Ti Ga
1 8 6
Direct
0.000 0.000 0.000 Ta
0.118 0.412 0.807 Ti
0.193 0.882 0.588 Ti
0.330 0.330 0.330 Ti
0.412 0.807 0.118 Ti
0.588 0.193 0.882 Ti
0.670 0.670 0.670 Ti
0.807 0.118 0.412 Ti
0.882 0.588 0.193 Ti
0.061 0.706 0.415 Ga
0.294 0.585 0.939 Ga
0.415 0.061 0.706 Ga
0.585 0.939 0.294 Ga
0.706 0.415 0.061 Ga
0.939 0.294 0.585 Ga

***

Question: Which of these has the lowest density?
Answer: Na2TlIn